Material: NaCd2Sn2
Method: DFT, PBEsol
State: optimized geometry

The structure belongs to space group I4/mmm (No. 139); the cell edges are 4.659, 4.659 and 12.361 Å and the angles 90.00°, 90.00° and 90.00°. The inequivalent atoms are Na at (0.000, 0.000, 0.000), Cd at (0.000, 0.500, 0.250) and Sn at (0.000, 0.000, 0.387).

The volume is 268.3 Å³ per cell. As for the energy above the most stable polymorph in this dataset: 0.000 eV per atom.